1.
Here is a relaxed Ce2Zn3Ge4 crystal from Alexandria via LeMat-Bulk. Energies are from PBE.

a b c (Å): 5.861 7.897 8.097
angles (deg): 90.00 111.22 90.00
Positions (direct):
Ge  0.797  0.250  0.095
Ge  0.185  0.946  0.370
Zn  0.500  0.500  0.000
Ce  0.617  0.920  0.234
Ge  0.297  0.250  0.095
Ce  0.117  0.580  0.234
Zn  0.000  0.000  0.000
Zn  0.464  0.250  0.427
Zn  0.036  0.750  0.573
Zn  0.536  0.750  0.573
Ge  0.685  0.554  0.370
Ce  0.883  0.420  0.766
Ge  0.315  0.446  0.630
Ge  0.203  0.750  0.905
Ge  0.815  0.054  0.630
Ce  0.383  0.080  0.766
Ge  0.703  0.750  0.905
Zn  0.964  0.250  0.427

Energy of formation from the pure elements, eV per atom: -0.45
Electronic total energy, eV for the cell shown: -76.366

---

2.
Here is a relaxed CeZn11Ge crystal from Alexandria via LeMat-Bulk. Energies are from PBE.

a b c (Å): 5.302 6.874 6.945
angles (deg): 81.08 67.56 66.03
Positions (direct):
Zn  0.507  0.787  0.219
Zn  0.000  0.500  0.000
Zn  0.652  0.353  0.361
Zn  0.000  0.000  0.500
Zn  0.013  0.353  0.639
Zn  0.348  0.647  0.639
Zn  0.274  0.213  0.219
Zn  0.987  0.647  0.361
Zn  0.500  0.000  0.500
Ge  0.500  0.500  0.000
Ce  0.000  0.000  0.000
Zn  0.493  0.213  0.781
Zn  0.726  0.787  0.781

Energy of formation from the pure elements, eV per atom: -0.12
Electronic total energy, eV for the cell shown: -26.130

---

3.
Here is a relaxed CeZn4Ge2 crystal from Alexandria via LeMat-Bulk. Energies are from PBE.

a b c (Å): 4.448 4.448 7.963
angles (deg): 73.78 73.78 60.00
Positions (direct):
Ge  0.742  0.742  0.775
Zn  0.859  0.859  0.424
Ge  0.258  0.258  0.225
Zn  0.141  0.141  0.576
Zn  0.437  0.437  0.688
Zn  0.563  0.563  0.312
Ce  0.000  0.000  0.000

ΔE to the lowest computed polymorph, eV per atom: 0.057
Energy of formation from the pure elements, eV per atom: -0.19
Electronic total energy, eV for the cell shown: -21.588

---

4.
Here is a relaxed CeZnGe crystal from Alexandria via LeMat-Bulk. Energies are from PBE.

a b c (Å): 4.178 4.245 4.245
angles (deg): 120.00 90.00 90.00
Positions (direct):
Ce  0.667  0.667  0.333
Zn  0.165  0.333  0.667
Ge  0.168  0.000  0.000

Energy of formation from the pure elements, eV per atom: -0.57
Electronic total energy, eV for the cell shown: -13.522

---

5.
Here is a relaxed Ce2Zn2Ge3 crystal from Alexandria via LeMat-Bulk. Energies are from PBE.

a b c (Å): 4.413 6.850 9.816
angles (deg): 90.00 102.99 90.00
Positions (direct):
Ce  0.843  0.750  0.686
Ge  0.785  0.250  0.570
Zn  0.688  0.555  0.377
Ce  0.157  0.250  0.314
Ge  0.564  0.064  0.127
Ge  0.564  0.436  0.127
Zn  0.312  0.055  0.623
Zn  0.312  0.445  0.623
Ge  0.215  0.750  0.430
Zn  0.688  0.945  0.377
Ge  0.436  0.936  0.873
Ce  0.954  0.250  0.907
Ge  0.436  0.564  0.873
Ce  0.046  0.750  0.093

Energy of formation from the pure elements, eV per atom: -0.50
Electronic total energy, eV for the cell shown: -63.479

---

6.
Here is a relaxed Ce2Zn5Ge3 crystal from Alexandria via LeMat-Bulk. Energies are from PBE.

a b c (Å): 4.440 4.440 9.920
angles (deg): 90.00 90.00 90.00
Positions (direct):
Ce  0.000  0.500  0.751
Zn  0.500  0.000  0.880
Ge  0.000  0.500  0.363
Zn  0.500  0.500  0.500
Zn  0.500  0.500  0.000
Zn  0.000  0.000  0.000
Zn  0.000  0.500  0.120
Ge  0.500  0.000  0.637
Ge  0.000  0.000  0.500
Ce  0.500  0.000  0.249

Energy of formation from the pure elements, eV per atom: -0.28
Electronic total energy, eV for the cell shown: -34.848